No. 1
Crystalline LiBi2Br at its relaxed geometry. Source: Alexandria, functional PBE.

a = 13.780 Å, b = 13.780 Å, c = 13.780 Å
α = 161.59°, β = 161.59°, γ = 26.15°
Element x y z (fractional)
Li 0.000 0.000 0.000
Li 0.750 0.250 0.500
Bi 0.102 0.625 0.977
Bi 0.375 0.352 0.477
Bi 0.648 0.125 0.023
Bi 0.875 0.898 0.523
Br 0.250 0.750 0.500
Br 0.500 0.500 0.000

Results
- N(E_F): 1.3 states/eV/f.u.
- Magnetization: 0.000 μB per atom
- Uncorrected formation energy: -0.337 eV per atom
- Energy above the lowest structure with this stoichiometry: 0 meV per atom
- Crystal system: tetragonal

No. 2
Crystalline LiNpPb at its relaxed geometry. Source: Alexandria, functional PBE.

a = 3.585 Å, b = 3.585 Å, c = 10.181 Å
α = 90.00°, β = 90.00°, γ = 90.00°
Element x y z (fractional)
Li 0.250 0.250 0.077
Li 0.750 0.750 0.923
Np 0.250 0.750 0.500
Np 0.750 0.250 0.500
Pb 0.250 0.250 0.778
Pb 0.750 0.750 0.222

Results
- Formation enthalpy at 0 K: 144 meV/atom
- N(E_F): 3.0 states/eV/f.u.
- Magnetization: 0.539 μB per atom
- Crystal system: tetragonal

No. 3
Crystalline NaHF4 at its relaxed geometry. Source: Alexandria, functional PBE.

a = 3.664 Å, b = 8.710 Å, c = 5.326 Å
α = 90.00°, β = 109.68°, γ = 90.00°
Element x y z (fractional)
Na 0.000 0.000 0.000
Na 0.000 0.500 0.000
H 0.203 0.250 0.407
H 0.797 0.750 0.593
F 0.103 0.250 0.214
F 0.366 0.051 0.725
F 0.366 0.250 0.725
F 0.366 0.449 0.725
F 0.634 0.551 0.275
F 0.634 0.750 0.275
F 0.634 0.949 0.275
F 0.897 0.750 0.786

Results
- N(E_F): 0.0 states/eV/f.u.
- Magnetization: 0.000 μB per atom
- Energy above the lowest structure with this stoichiometry: 0 meV per atom
- Crystal system: monoclinic

No. 4
Crystalline Tc2Os2Ru at its relaxed geometry. Source: Alexandria, functional PBE.

a = 7.371 Å, b = 7.371 Å, c = 2.787 Å
α = 90.00°, β = 90.00°, γ = 90.00°
Element x y z (fractional)
Tc 0.171 0.329 0.000
Tc 0.329 0.829 0.000
Tc 0.671 0.171 0.000
Tc 0.829 0.671 0.000
Os 0.126 0.626 0.500
Os 0.374 0.126 0.500
Os 0.626 0.874 0.500
Os 0.874 0.374 0.500
Ru 0.000 0.000 0.500
Ru 0.500 0.500 0.500

Results
- Formation enthalpy at 0 K: 290 meV/atom
- N(E_F): 4.7 states/eV/f.u.
- Magnetization: 0.000 μB per atom
- Energy above the lowest structure with this stoichiometry: 221 meV per atom
- Crystal system: tetragonal